The following is a DFT calculation (GGA-PBE) of crystalline Mg2CoTc at its relaxed geometry.

Output
Space group   I-42d
Crystal system   tetragonal
Total DFT energy (no corrections)   -4.454 eV/atom
Mass density   5.3 g cm⁻³
Energy above the most stable polymorph in this dataset   0.638 eV per atom
Formation energy from the elements   0.711 eV/atom

Unit cell a=7.071 b=7.071 c=5.614 alpha=50.97 beta=50.97 gamma=90.00
Positions (direct):
Co 0.250 0.750 0.500
Mg 0.875 0.847 0.750
Tc 0.750 0.250 0.500
Mg 0.375 0.403 0.750
Co 0.500 0.500 0.000
Mg 0.597 0.125 0.250
Tc 0.000 0.000 0.000
Mg 0.153 0.625 0.250

The following is a DFT calculation (GGA-PBE) of crystalline Mg2CoTc at its relaxed geometry.

Output
Space group   Cmmm
Crystal system   orthorhombic
Total DFT energy (no corrections)   -4.933 eV/atom
Mass density   5.6 g cm⁻³
Energy above the most stable polymorph in this dataset   0.158 eV per atom
Formation energy from the elements   0.232 eV/atom

Unit cell a=2.677 b=2.677 c=8.657 alpha=90.00 beta=90.00 gamma=102.65
Each line ends with the local moment (μB).
Positions (direct):
Co 0.500 0.500 0.750  1.45
Tc 0.500 0.500 0.250  0.02
Mg 0.000 0.000 0.514  -0.01
Mg 0.000 0.000 0.986  -0.01

The following is a DFT calculation (GGA-PBE) of crystalline MgCoTc2 at its relaxed geometry.

Output
Space group   R3m
Crystal system   trigonal
Total DFT energy (no corrections)   -7.181 eV/atom
Mass density   8.0 g cm⁻³
Formation energy from the elements   0.178 eV/atom

Unit cell a=8.957 b=8.957 c=8.957 alpha=17.75 beta=17.75 gamma=17.75
Each line ends with the local moment (μB).
Positions (direct):
Co 0.503 0.503 0.503  1.41
Tc 0.249 0.249 0.249  0.14
Mg 0.754 0.754 0.754  0.00
Tc 0.995 0.995 0.995  -0.03

The following is a DFT calculation (GGA-PBE) of crystalline MgCoTc at its relaxed geometry.

Output
Space group   P2_1/m
Crystal system   monoclinic
Total DFT energy (no corrections)   -6.208 eV/atom
Mass density   7.0 g cm⁻³
Energy above the most stable polymorph in this dataset   0.081 eV per atom
Formation energy from the elements   0.148 eV/atom

Unit cell a=2.741 b=7.194 c=4.442 alpha=77.63 beta=90.01 gamma=90.02
Each line ends with the local moment (μB).
Positions (direct):
Tc 0.113 0.600 0.557  0.02
Co 0.612 0.300 0.661  0.88
Mg 0.111 0.346 0.144  -0.01
Co 0.113 0.019 0.911  0.88
Tc 0.612 0.719 0.015  0.02
Mg 0.613 0.973 0.428  -0.01

The following is a DFT calculation (GGA-PBE) of crystalline MgCoTc2 at its relaxed geometry.

Output
Space group   Cmmm
Crystal system   orthorhombic
Total DFT energy (no corrections)   -7.078 eV/atom
Mass density   8.2 g cm⁻³
Formation energy from the elements   0.280 eV/atom

Unit cell a=4.936 b=4.936 c=2.650 alpha=90.00 beta=90.00 gamma=119.03
Each line ends with the local moment (μB).
Positions (direct):
Co 0.500 0.000 0.500  0.89
Tc 0.500 0.500 0.000  -0.02
Mg 0.000 0.500 0.500  0.00
Tc 0.000 0.000 0.000  -0.02

The following is a DFT calculation (GGA-PBE) of crystalline MgCoTc at its relaxed geometry.

Output
Space group   Cmcm
Crystal system   orthorhombic
Total DFT energy (no corrections)   -6.206 eV/atom
Mass density   6.9 g cm⁻³
Energy above the most stable polymorph in this dataset   0.083 eV per atom
Formation energy from the elements   0.150 eV/atom

Unit cell a=5.775 b=4.044 c=3.966 alpha=90.00 beta=110.08 gamma=90.00
Each line ends with the local moment (μB).
Positions (direct):
Mg 0.336 0.780 0.946  0.00
Tc 0.712 0.780 0.634  0.02
Co 0.691 0.280 0.123  0.08
Co 0.979 0.780 0.267  0.08
Tc 0.958 0.280 0.757  0.02
Mg 0.334 0.280 0.445  0.00

The following is a DFT calculation (GGA-PBE) of crystalline MgCoTc2 at its relaxed geometry.

Output
Space group   Imm2
Crystal system   orthorhombic
Total DFT energy (no corrections)   -7.145 eV/atom
Mass density   8.2 g cm⁻³
Formation energy from the elements   0.213 eV/atom

Unit cell a=4.935 b=4.935 c=4.935 alpha=142.91 beta=127.39 gamma=66.11
Each line ends with the local moment (μB).
Positions (direct):
Mg 0.256 0.756 0.500  0.00
Tc 0.750 0.250 0.500  0.08
Tc 0.986 0.986 0.000  0.13
Co 0.508 0.508 0.000  1.30

The following is a DFT calculation (GGA-PBE) of crystalline MgCoTc at its relaxed geometry.

Output
Space group   P3m1
Crystal system   trigonal
Total DFT energy (no corrections)   -6.172 eV/atom
Mass density   7.2 g cm⁻³
Energy above the most stable polymorph in this dataset   0.117 eV per atom
Formation energy from the elements   0.184 eV/atom

Unit cell a=4.261 b=4.261 c=5.329 alpha=90.00 beta=90.00 gamma=60.00
Each line ends with the local moment (μB).
Positions (direct):
Co 0.000 0.699 0.229  -0.39
Mg 0.333 0.032 0.063  0.00
Co 0.667 0.365 0.866  0.71
Tc 0.333 0.032 0.576  -0.08
Tc 0.000 0.699 0.716  0.13
Mg 0.667 0.365 0.368  0.00

The following is a DFT calculation (GGA-PBE) of crystalline MgCoTc at its relaxed geometry.

Output
Space group   Imma
Crystal system   orthorhombic
Total DFT energy (no corrections)   -6.194 eV/atom
Mass density   6.8 g cm⁻³
Energy above the most stable polymorph in this dataset   0.095 eV per atom
Formation energy from the elements   0.162 eV/atom

Unit cell a=4.922 b=5.010 c=5.009 alpha=118.64 beta=119.47 gamma=60.53
Positions (direct):
Tc 0.812 0.496 0.862
Tc 0.312 0.496 0.862
Mg 0.186 0.872 0.487
Co 0.812 0.996 0.862
Co 0.812 0.496 0.362
Mg 0.437 0.121 0.238

The following is a DFT calculation (GGA-PBE) of crystalline MgCoTc2 at its relaxed geometry.

Output
Space group   Immm
Crystal system   orthorhombic
Total DFT energy (no corrections)   -7.186 eV/atom
Mass density   8.1 g cm⁻³
Formation energy from the elements   0.173 eV/atom

Unit cell a=5.169 b=5.169 c=5.169 alpha=146.38 beta=131.18 gamma=60.58
Each line ends with the local moment (μB).
Positions (direct):
Tc 0.517 0.517 0.000  0.17
Tc 0.983 0.983 0.000  0.17
Co 0.750 0.250 0.500  1.11
Mg 0.250 0.750 0.500  -0.01

Please write out number 3 again, unchanged.
The following is a DFT calculation (GGA-PBE) of crystalline MgCoTc2 at its relaxed geometry.

Output
Space group   R3m
Crystal system   trigonal
Total DFT energy (no corrections)   -7.181 eV/atom
Mass density   8.0 g cm⁻³
Formation energy from the elements   0.178 eV/atom

Unit cell a=8.957 b=8.957 c=8.957 alpha=17.75 beta=17.75 gamma=17.75
Each line ends with the local moment (μB).
Positions (direct):
Co 0.503 0.503 0.503  1.41
Tc 0.249 0.249 0.249  0.14
Mg 0.754 0.754 0.754  0.00
Tc 0.995 0.995 0.995  -0.03

Copy entry 3 word for word.
The following is a DFT calculation (GGA-PBE) of crystalline MgCoTc2 at its relaxed geometry.

Output
Space group   R3m
Crystal system   trigonal
Total DFT energy (no corrections)   -7.181 eV/atom
Mass density   8.0 g cm⁻³
Formation energy from the elements   0.178 eV/atom

Unit cell a=8.957 b=8.957 c=8.957 alpha=17.75 beta=17.75 gamma=17.75
Each line ends with the local moment (μB).
Positions (direct):
Co 0.503 0.503 0.503  1.41
Tc 0.249 0.249 0.249  0.14
Mg 0.754 0.754 0.754  0.00
Tc 0.995 0.995 0.995  -0.03

Look up the total DFT energy (no corrections) of the tenth one. -7.186 eV/atom